[1]
Computed, not measured: crystalline Ca3SmIn2 at its relaxed geometry at the GGA-PBE level of DFT.

Structure (POSCAR):
```
Ca3SmIn2
1.0
5.3398 0.0000 0.0000
0.0000 9.9088 0.0000
0.0000 0.0000 7.1553
Ca Sm In
6 2 4
Cartesian
0.0000 0.4938 0.0000 Ca
0.0000 3.1100 2.5497 Ca
0.0000 6.7988 6.1274 Ca
0.0000 9.4150 3.5777 Ca
2.6699 1.7926 5.0871 Ca
2.6699 8.1161 1.5095 Ca
2.6699 4.5007 0.4621 Sm
2.6699 5.4080 4.0398 Sm
0.0000 3.6226 5.8366 In
0.0000 6.2861 2.2589 In
2.6699 1.4557 1.7738 In
2.6699 8.4530 5.3514 In
```

Results
Final energy, eV/atom: -3.06
Energy of formation from the pure elements, eV/atom: -0.364
Space group: Pmc2_1



[2]
Computed, not measured: crystalline Gd3FeSn at its relaxed geometry at the GGA-PBE level of DFT.

Structure (POSCAR):
```
Gd3FeSn
1.0
5.1142 0.0000 0.0000
0.0000 5.1142 0.0000
0.0000 0.0000 5.1142
Gd Fe Sn
3 1 1
Cartesian
0.0000 0.0000 2.5571 Gd
0.0000 2.5571 0.0000 Gd
2.5571 0.0000 0.0000 Gd
0.0000 0.0000 0.0000 Fe
2.5571 2.5571 2.5571 Sn
```

Results
Final energy, eV/atom: -11.17
Energy of formation from the pure elements, eV/atom: -0.226
Space group: Pm-3m



[3]
Computed, not measured: crystalline MgV3H at its relaxed geometry at the GGA-PBE level of DFT.

Structure (POSCAR):
```
MgV3H
1.0
4.9888 0.0000 0.0000
0.0000 4.9888 0.0000
0.0000 0.0000 4.9888
Mg V H
1 3 1
Cartesian
0.0000 0.0000 0.0000 Mg
0.0000 0.0000 2.4944 V
0.0000 2.4944 0.0000 V
2.4944 0.0000 0.0000 V
2.4944 2.4944 2.4944 H
```

Results
Final energy, eV/atom: -4.12
E above lowest polymorph, meV per atom: 2161
Space group: Pm-3m



[4]
Computed, not measured: crystalline Tm6SiSn2 at its relaxed geometry at the GGA-PBE level of DFT.

Structure (POSCAR):
```
Tm6SiSn2
1.0
6.1271 0.0000 0.0000
0.0000 8.2339 0.0000
-5.8100 0.0000 9.7807
Tm Si Sn
12 2 4
Cartesian
-2.1394 1.4432 4.4213 Tm
-5.0444 2.6737 9.3116 Tm
-0.6055 5.6381 4.3859 Tm
-3.5105 6.7128 9.2762 Tm
0.8213 0.2921 2.6213 Tm
-2.0837 3.8248 7.5116 Tm
2.4008 4.4091 2.2691 Tm
-0.5041 7.9417 7.1594 Tm
3.8277 1.5211 0.5044 Tm
0.9227 2.5958 5.3948 Tm
5.3615 5.5601 0.4691 Tm
2.4565 6.7907 5.3594 Tm
0.0000 0.0000 0.0000 Si
-2.9050 4.1169 4.8903 Si
-3.3644 0.9508 7.3637 Sn
-0.4594 3.1661 2.4733 Sn
0.7766 5.0678 7.3073 Sn
3.6815 7.2831 2.4170 Sn
```

Results
Final energy, eV/atom: -4.95
Space group: P2_1/c
Uncorrected formation energy, eV per atom: -0.474



[5]
Computed, not measured: crystalline ErCuHg at its relaxed geometry at the GGA-PBE level of DFT.

Structure (POSCAR):
```
ErCuHg
1.0
4.2743 0.0000 0.0000
0.0000 4.7784 0.0000
-2.1338 0.0000 6.0646
Er Cu Hg
2 2 2
Cartesian
0.0037 1.1946 1.3008 Er
2.1368 3.5838 4.7638 Er
-0.0007 3.5838 2.9118 Cu
2.1412 1.1946 3.1528 Cu
0.0017 1.1946 4.8555 Hg
2.1388 3.5838 1.2091 Hg
```

Results
Final energy, eV/atom: -3.25
Energy of formation from the pure elements, eV/atom: -0.264
Space group: P2_1/m



[6]
Computed, not measured: crystalline Ba2Np2N5 at its relaxed geometry at the GGA-PBE level of DFT.

Structure (POSCAR):
```
Ba2Np2N5
1.0
6.1547 -2.2256 0.0000
6.1547 2.2256 0.0000
-3.6285 0.0000 5.7036
Ba Np N
2 2 5
Cartesian
-0.0368 0.0000 2.5886 Ba
8.7177 0.0000 3.1150 Ba
4.4184 0.0000 0.5519 Np
4.2625 0.0000 5.1517 Np
-1.3066 0.0000 5.2257 N
1.8630 0.0000 4.5734 N
4.3404 0.0000 2.8518 N
6.8179 0.0000 1.1302 N
9.9874 0.0000 0.4779 N
```

Results
Final energy, eV/atom: -8.76
Space group: C2/m
Uncorrected formation energy, eV per atom: -0.829



[7]
Computed, not measured: crystalline RbYZr2In at its relaxed geometry at the GGA-PBE level of DFT.

Structure (POSCAR):
```
RbYZr2In
1.0
5.5911 0.0000 0.0000
0.0000 5.5911 0.0000
0.0000 0.0000 5.8859
Rb Y Zr In
1 1 2 1
Cartesian
0.0000 0.0000 0.0000 Rb
2.7956 2.7956 0.0000 Y
0.0000 2.7956 2.9429 Zr
2.7956 0.0000 2.9429 Zr
2.7956 2.7956 2.9429 In
```

Results
Final energy, eV/atom: -4.50
Energy of formation from the pure elements, eV/atom: 0.952
Space group: P4/mmm



[8]
Computed, not measured: crystalline Gd2GaSn at its relaxed geometry at the GGA-PBE level of DFT.

Structure (POSCAR):
```
Gd2GaSn
1.0
3.4196 0.0000 0.0000
0.0000 3.4196 0.0000
0.0000 0.0000 8.6648
Gd Ga Sn
2 1 1
Cartesian
0.0000 0.0000 2.0069 Gd
0.0000 0.0000 6.6579 Gd
1.7098 1.7098 0.0000 Ga
1.7098 1.7098 4.3324 Sn
```

Results
Final energy, eV/atom: -9.42
Energy of formation from the pure elements, eV/atom: -0.621
Space group: P4/mmm



[9]
Computed, not measured: crystalline AgPtW2 at its relaxed geometry at the GGA-PBE level of DFT.

Structure (POSCAR):
```
AgPtW2
1.0
1.3998 0.8082 9.5650
-1.3998 0.8082 9.5650
0.0000 -1.6164 9.5650
Ag Pt W
1 1 2
Cartesian
0.0000 0.0000 0.0000 Ag
0.0000 0.0000 14.3475 Pt
0.0000 0.0000 7.0913 W
0.0000 0.0000 21.6038 W
```

Results
Final energy, eV/atom: -8.41
Energy of formation from the pure elements, eV/atom: 0.289
E above lowest polymorph, meV per atom: 153
Space group: R-3m



[10]
Computed, not measured: crystalline SrMg3Tl at its relaxed geometry at the GGA-PBE level of DFT.

Structure (POSCAR):
```
SrMg3Tl
1.0
6.3026 0.0000 0.0000
0.0000 6.3538 0.0000
-2.9979 0.0000 7.1812
Sr Mg Tl
2 6 2
Cartesian
0.8479 1.5885 1.1135 Sr
2.4569 4.7654 6.0677 Sr
-0.6810 0.0594 4.8622 Mg
-0.6810 3.1175 4.8622 Mg
0.8573 4.7654 2.8205 Mg
2.4475 1.5885 4.3607 Mg
3.9858 3.2363 2.3190 Mg
3.9858 6.2944 2.3190 Mg
2.2815 4.7654 0.2332 Tl
1.0233 1.5885 6.9480 Tl
```

Results
Final energy, eV/atom: -1.88
Energy of formation from the pure elements, eV/atom: -0.109
E above lowest polymorph, meV per atom: 20
Space group: P2_1/m



[11]
Computed, not measured: crystalline Ac2SmDyO6 at its relaxed geometry at the GGA-PBE level of DFT.

Structure (POSCAR):
```
Ac2SmDyO6
1.0
6.0803 0.0000 0.0000
0.0000 6.2696 0.0000
-6.0612 0.0000 8.7743
Ac Sm Dy O
4 2 2 12
Cartesian
-0.0899 0.3019 2.1970 Ac
-3.1205 2.8330 6.5841 Ac
3.1396 3.4367 2.1901 Ac
0.1091 5.9678 6.5773 Ac
3.0401 0.0000 0.0000 Sm
0.0096 3.1348 4.3871 Sm
-3.0306 0.0000 4.3871 Dy
0.0000 3.1348 0.0000 Dy
-4.8904 1.2588 8.1790 O
-1.8598 1.8760 3.7919 O
-4.2370 4.3545 8.1949 O
-1.2065 5.0499 3.8077 O
-2.2743 0.3539 6.5480 O
0.7563 2.7809 2.1608 O
-0.7372 3.4887 6.6135 O
2.2934 5.9157 2.2263 O
1.2256 1.2197 4.9666 O
4.2562 1.9151 0.5794 O
1.8789 4.3936 4.9824 O
4.9095 5.0108 0.5953 O
```

Results
Final energy, eV/atom: -8.13
Space group: P2_1/c
Uncorrected formation energy, eV per atom: -3.401



[12]
Computed, not measured: crystalline BaMg2H8 at its relaxed geometry at the GGA-PBE level of DFT.

Structure (POSCAR):
```
BaMg2H8
1.0
3.0450 -5.3867 0.0000
3.0450 5.3867 0.0000
0.0000 0.0000 3.8938
Ba Mg H
1 2 8
Cartesian
0.0000 0.0000 0.0000 Ba
3.0450 2.3817 1.9469 Mg
3.0450 -2.3817 1.9469 Mg
1.2485 1.4352 1.9469 H
3.0450 2.4231 0.0000 H
1.2485 -1.4352 1.9469 H
2.6589 0.0000 1.9469 H
3.4311 0.0000 1.9469 H
4.8415 1.4352 1.9469 H
3.0450 -2.4231 0.0000 H
4.8415 -1.4352 1.9469 H
```

Results
Final energy, eV/atom: -3.12
Space group: Cmmm



[13]
Computed, not measured: crystalline LiCe2PaS4 at its relaxed geometry at the GGA-PBE level of DFT.

Structure (POSCAR):
```
LiCe2PaS4
1.0
6.7915 0.0000 0.0000
0.0000 3.9295 0.0000
-2.2814 0.0000 6.4539
Li Ce Pa S
1 2 1 4
Cartesian
0.0000 0.0000 0.0000 Li
2.2551 0.0000 3.2269 Ce
3.3958 1.9648 0.0000 Ce
-1.1407 1.9648 3.2269 Pa
1.0250 1.9648 1.5530 S
-0.1149 0.0000 4.8562 S
4.6250 0.0000 1.5976 S
3.4852 1.9648 4.9008 S
```

Results
Final energy, eV/atom: -6.73
Space group: P2/m
Uncorrected formation energy, eV per atom: -1.759



[14]
Computed, not measured: crystalline UW2N at its relaxed geometry at the GGA-PBE level of DFT.

Structure (POSCAR):
```
UW2N
1.0
1.4292 0.8252 8.5664
-1.4292 0.8252 8.5664
0.0000 -1.6503 8.5664
U W N
1 2 1
Cartesian
0.0000 0.0000 0.0000 U
0.0000 0.0000 2.8367 W
0.0000 0.0000 22.8625 W
0.0000 0.0000 12.8496 N
```

Results
Final energy, eV/atom: -10.81
Space group: R-3m
Uncorrected formation energy, eV per atom: 0.569



[15]
Computed, not measured: crystalline Na5Pa2Br12 at its relaxed geometry at the GGA-PBE level of DFT.

Structure (POSCAR):
```
Na5Pa2Br12
1.0
8.0067 -3.9814 0.0000
8.0067 3.9814 0.0000
-5.1947 0.0000 10.6130
Na Pa Br
5 2 12
Cartesian
0.0000 0.0000 0.0000 Na
-1.3112 0.0000 10.4650 Na
2.9972 0.0000 8.9720 Na
7.8216 0.0000 1.6410 Na
12.1299 0.0000 0.1480 Na
5.4094 1.9864 5.3065 Pa
5.4094 -1.9864 5.3065 Pa
-1.4562 0.0000 7.0955 Br
0.8977 1.8679 10.4655 Br
3.0540 2.0084 6.7436 Br
7.7647 2.0084 3.8694 Br
4.3122 0.0000 3.4894 Br
9.9210 1.8679 0.1475 Br
0.8977 -1.8679 10.4655 Br
6.5065 0.0000 7.1236 Br
3.0540 -2.0084 6.7436 Br
7.7647 -2.0084 3.8694 Br
9.9210 -1.8679 0.1475 Br
12.2749 0.0000 3.5175 Br
```

Results
Final energy, eV/atom: -3.84
Space group: C2/m
Uncorrected formation energy, eV per atom: -1.432



[16]
Computed, not measured: crystalline Ce2SiSbPt6 at its relaxed geometry at the GGA-PBE level of DFT.

Structure (POSCAR):
```
Ce2SiSbPt6
1.0
5.5510 0.0000 0.0000
0.0000 8.5775 0.0000
0.0000 0.0000 8.8235
Ce Si Sb Pt
4 2 2 12
Cartesian
1.3878 0.0918 2.1537 Ce
1.3878 4.1969 2.1537 Ce
4.1633 4.3806 6.6697 Ce
4.1633 8.4856 6.6697 Ce
1.3878 6.4331 6.5378 Si
4.1633 2.1444 2.2857 Si
1.3878 2.1444 6.9454 Sb
4.1633 6.4331 1.8781 Sb
0.0178 2.1444 4.3308 Pt
0.0167 6.4331 8.4664 Pt
1.3878 0.0124 5.4057 Pt
1.3878 4.2763 5.4057 Pt
2.7578 2.1444 4.3308 Pt
2.7589 6.4331 8.4664 Pt
2.7922 2.1444 0.3571 Pt
2.7933 6.4331 4.4927 Pt
4.1633 4.3011 3.4177 Pt
4.1633 8.5651 3.4177 Pt
5.5344 2.1444 0.3571 Pt
5.5333 6.4331 4.4927 Pt
```

Results
Final energy, eV/atom: -6.64
Space group: Pmmn
Uncorrected formation energy, eV per atom: -0.873



[17]
Computed, not measured: crystalline Ho8TcPd2 at its relaxed geometry at the GGA-PBE level of DFT.

Structure (POSCAR):
```
Ho8TcPd2
1.0
8.5435 -2.5297 0.0000
8.5435 2.5297 0.0000
-2.0259 0.0000 6.4940
Ho Tc Pd
8 1 2
Cartesian
-0.0797 0.0000 1.9071 Ho
1.7545 0.0000 5.2531 Ho
4.6424 0.0000 3.4643 Ho
6.8554 0.0000 0.3831 Ho
8.2057 0.0000 6.1109 Ho
10.4186 0.0000 3.0297 Ho
13.3065 0.0000 1.2409 Ho
15.1407 0.0000 4.5869 Ho
7.5305 0.0000 3.2470 Tc
2.7814 0.0000 1.3406 Pd
12.2797 0.0000 5.1534 Pd
```

Results
Final energy, eV/atom: -5.57
Energy of formation from the pure elements, eV/atom: -0.352
E above lowest polymorph, meV per atom: 0
Space group: C2/m



[18]
Computed, not measured: crystalline NdDy4ScS8 at its relaxed geometry at the GGA-PBE level of DFT.

Structure (POSCAR):
```
NdDy4ScS8
1.0
4.0432 2.3344 6.4403
-4.0432 2.3344 6.4403
0.0000 -4.6687 6.4403
Nd Dy Sc S
1 4 1 8
Cartesian
0.0000 0.0000 0.0000 Nd
-2.0172 -1.1647 8.7601 Dy
0.0000 0.0000 4.6707 Dy
2.0172 -1.1647 8.7601 Dy
0.0000 2.3293 8.7601 Dy
0.0000 0.0000 11.9651 Sc
0.0000 0.0000 7.2687 S
0.0000 -2.1470 10.3874 S
-1.8593 1.0735 10.3874 S
-1.7906 -1.0338 13.5857 S
1.8593 1.0735 10.3874 S
1.7906 -1.0338 13.5857 S
0.0000 2.0676 13.5857 S
0.0000 0.0000 16.6404 S
```

Results
Final energy, eV/atom: -6.37
Space group: R3m
Uncorrected formation energy, eV per atom: -1.902



[19]
Computed, not measured: crystalline YRh2Se at its relaxed geometry at the GGA-PBE level of DFT.

Structure (POSCAR):
```
YRh2Se
1.0
0.0000 3.3124 3.3124
3.3124 0.0000 3.3124
3.3124 3.3124 0.0000
Y Rh Se
1 2 1
Cartesian
0.0000 0.0000 0.0000 Y
1.6562 1.6562 1.6562 Rh
3.3124 3.3124 3.3124 Rh
4.9686 4.9686 4.9686 Se
```

Results
Final energy, eV/atom: -6.50
Space group: F-43m
Uncorrected formation energy, eV per atom: -0.341



[20]
Computed, not measured: crystalline HoPuCuAg at its relaxed geometry at the GGA-PBE level of DFT.

Structure (POSCAR):
```
HoPuCuAg
1.0
0.0000 3.5757 3.5757
3.5757 0.0000 3.5757
3.5757 3.5757 0.0000
Ho Pu Cu Ag
1 1 1 1
Cartesian
0.0000 0.0000 0.0000 Ho
3.5757 3.5757 3.5757 Pu
5.3635 5.3635 5.3635 Cu
1.7878 1.7878 1.7878 Ag
```

Results
Final energy, eV/atom: -6.48
Energy of formation from the pure elements, eV/atom: -0.019
Space group: F-43m